# 1
Dy8ZnTe4P3: optimized geometry, PBE.

Computed properties:
Formation energy without anion corrections in eV/atom: -1.34

Cell lengths 8.2980, 8.5019, 8.2987 Å; angles 119.22, 120.00, 90.00 degrees
With the nearest neighbours (Å) after each atom.
Fractional coordinates of all 16 atoms:
Dy 0.2413 0.7177 0.4827  2 P 2.83, 1 Zn 2.87, 3 Te 3.09-3.12
P 0.5000 0.5000 0.0000  6 Dy 2.81-2.83
Te 0.5000 0.0000 0.5000  6 Dy 3.12-3.15
P 0.0000 0.5000 0.5000  6 Dy 2.81-2.83
Te 0.0000 0.0000 0.5000  6 Dy 3.12-3.15
Dy 0.2638 0.2913 0.5276  3 P 2.81
Dy 0.2649 0.2822 0.0235  2 P 2.83, 1 Zn 2.87, 3 Te 3.09-3.12
Te 0.5000 0.0000 0.0000  6 Dy 3.09
Zn 0.0000 0.5000 0.0000  6 Dy 2.87
Dy 0.2413 0.7178 0.9765  2 P 2.83, 1 Zn 2.87, 3 Te 3.09-3.12
Dy 0.7587 0.2822 0.0235  2 P 2.83, 1 Zn 2.87, 3 Te 3.09-3.12
Dy 0.7351 0.7178 0.9765  2 P 2.83, 1 Zn 2.87, 3 Te 3.09-3.12
Dy 0.7362 0.7087 0.4724  3 P 2.81
Dy 0.7587 0.2823 0.5173  2 P 2.83, 1 Zn 2.87, 3 Te 3.09-3.12
Te 0.0000 0.0000 0.0000  6 Dy 3.12-3.15
P 0.5000 0.5000 0.5000  6 Dy 2.81-2.83

# 2
DyTh4P6: optimized geometry, PBE.

Computed properties:
ΔH_f (0 K) in eV/atom: -1.313

Cell lengths 8.0527, 8.0527, 8.0527 Å; angles 90.37, 90.37, 89.63 degrees
With the nearest neighbours (Å) after each atom.
Fractional coordinates of all 22 atoms:
Th 0.2500 0.6307 0.1307  8 P 2.89-3.14
P 0.8200 0.5852 0.5644  1 Dy 2.72, 2 Th 2.89-2.92
Dy 0.0000 0.0000 0.0000  6 P 2.72
P 0.4148 0.5644 0.8200  1 Dy 2.72, 2 Th 2.89-2.92
P 0.1800 0.4148 0.4356  1 Dy 2.72, 2 Th 2.89-2.92
P 0.9356 0.0852 0.6800  1 Dy 2.72, 2 Th 2.89-2.92
Th 0.3693 0.1307 0.2500  8 P 2.89-3.14
P 0.9148 0.6800 0.9356  1 Dy 2.72, 2 Th 2.89-2.92
Th 0.1307 0.7500 0.6307  8 P 2.89-3.14
P 0.0852 0.3200 0.0644  1 Dy 2.72, 2 Th 2.89-2.92
Th 0.7500 0.3693 0.8693  8 P 2.89-3.14
Th 0.2500 0.2500 0.7500  6 P 2.92
Th 0.8693 0.2500 0.3693  8 P 2.89-3.14
P 0.4356 0.8200 0.4148  1 Dy 2.72, 2 Th 2.89-2.92
P 0.5644 0.1800 0.5852  1 Dy 2.72, 2 Th 2.89-2.92
P 0.5852 0.4356 0.1800  1 Dy 2.72, 2 Th 2.89-2.92
P 0.3200 0.9356 0.9148  1 Dy 2.72, 2 Th 2.89-2.92
Dy 0.5000 0.5000 0.5000  6 P 2.72
Th 0.6307 0.8693 0.7500  8 P 2.89-3.14
P 0.0644 0.9148 0.3200  1 Dy 2.72, 2 Th 2.89-2.92
Th 0.7500 0.7500 0.2500  6 P 2.92
P 0.6800 0.0644 0.0852  1 Dy 2.72, 2 Th 2.89-2.92